DFT (PBE) results for Ce2HPb after structural relaxation.

Computed properties:
ρ	9.07	Mg/m³
energy above the most stable polymorph in this dataset	160	meV per atom
calculated volume	357.7	Å³/cell

Cell lengths 3.431, 15.419, 6.762 Å; angles 90.00, 90.00, 90.00 degrees
Space group Cmcm (No. 63)
Symmetry-distinct sites (fractional):
Ce (0.000, 0.158, 0.001) (multiplicity 8)
H (0.000, 0.279, 0.750) (multiplicity 4)
Pb (0.000, 0.499, 0.250) (multiplicity 4)